# 1
Computed, not measured: an optimized crystal structure of DyPu2PaTe5 at the PBE level of DFT.

abc: 5.6251 5.6251 11.5505
angles: 90.00 90.00 90.00
With the nearest neighbours (Å) after each atom.
Positions (direct):
1 Dy 0.0000 0.0000 0.0000  2 Te 2.83
2 Pu 0.5000 0.5000 0.3329  4 Te 3.41
3 Pu 0.5000 0.5000 0.6671  4 Te 3.41
4 Pa 0.0000 0.0000 0.5000  6 Te 2.81-2.95
5 Te 0.0000 0.5000 0.5000  2 Pa 2.81
6 Te 0.5000 0.0000 0.5000  2 Pa 2.81
7 Te 0.0000 0.0000 0.7551  1 Dy 2.83, 1 Pa 2.95
8 Te 0.0000 0.0000 0.2449  1 Dy 2.83, 1 Pa 2.95
9 Te 0.5000 0.5000 0.0000  2 Pu 3.84, 4 Dy 3.98

Values from the calculation:
As for the symmetry: P4/mmm, No. 123. The value obtained for the total energy is -6.97 eV/atom. The crystal system is tetragonal. The total magnetic moment is 13.50 μB/f.u. As for the formation energy from raw total energies: -0.470 eV/atom.

***

# 2
Computed, not measured: an optimized crystal structure of DyPuPaTl at the PBE level of DFT.

abc: 5.2877 5.2877 5.2877
angles: 60.00 60.00 60.00
With the nearest neighbours (Å) after each atom.
Positions (direct):
1 Tl 0.7500 0.7500 0.7500  4 Dy 3.24, 4 Pu 3.24
2 Pa 0.2500 0.2500 0.2500  4 Dy 3.24, 4 Pu 3.24
3 Dy 0.5000 0.5000 0.5000  4 Pa 3.24, 4 Tl 3.24
4 Pu 0.0000 0.0000 0.0000  4 Tl 3.24, 4 Pa 3.24

Values from the calculation:
As for the symmetry: F-43m, No. 216. The value obtained for the total energy is -7.49 eV/atom. The crystal system is cubic. For the formation energy from the elements, the calculation gives 210 meV/atom. The total magnetic moment is 6.99 μB/f.u.

***

# 3
Computed, not measured: an optimized crystal structure of Rb2DyPaS4 at the PBE level of DFT.

abc: 4.0443 7.0646 8.0892
angles: 106.64 90.00 90.00
With the nearest neighbours (Å) after each atom.
Positions (direct):
1 Rb 0.5000 0.0000 0.5000  6 S 3.33
2 Rb 0.0000 0.5000 0.5000  6 S 3.32-3.34
3 Dy 0.5000 0.5000 0.0000  6 S 2.79
4 Pa 0.0000 0.0000 0.0000  6 S 2.78-2.80
5 S 0.5000 0.2331 0.1960  1 Dy 2.79, 2 Pa 2.80
6 S 0.5000 0.7669 0.8040  1 Dy 2.79, 2 Pa 2.80
7 S 0.0000 0.2675 0.8063  1 Pa 2.78, 2 Dy 2.79
8 S 0.0000 0.7325 0.1937  1 Pa 2.78, 2 Dy 2.79

Values from the calculation:
As for the symmetry: P2/m, No. 10. The value obtained for the total energy is -5.70 eV/atom. The crystal system is monoclinic. The total magnetic moment is 1.92 μB/f.u. As for the formation energy from raw total energies: -1.628 eV/atom.

***

# 4
Computed, not measured: an optimized crystal structure of RbDyPaS4 at the PBE level of DFT.

abc: 8.5388 8.4890 8.4757
angles: 119.95 90.00 120.19
With the nearest neighbours (Å) after each atom.
Positions (direct):
1 Rb 0.8783 0.7566 0.1283  4 S 3.04-3.06
2 Rb 0.1217 0.2434 0.8717  4 S 3.04-3.06
3 Dy 0.5000 0.0000 0.5000  6 S 2.78-2.79
4 Dy 0.5000 0.0000 0.0000  6 S 2.78-2.79
5 Pa 0.5000 0.5000 0.5000  6 S 2.73-2.76
6 Pa 0.0000 0.5000 0.5000  6 S 2.73-2.76
7 S 0.7309 0.4619 0.6864  2 Pa 2.76, 1 Dy 2.79, 1 Rb 3.06
8 S 0.3162 0.0480 0.2740  1 Pa 2.73, 2 Dy 2.78, 1 Rb 3.04
9 S 0.7318 0.0480 0.2740  1 Pa 2.73, 2 Dy 2.78, 1 Rb 3.04
10 S 0.7309 0.4619 0.2755  2 Pa 2.76, 1 Dy 2.79, 1 Rb 3.06
11 S 0.2691 0.5381 0.7245  2 Pa 2.76, 1 Dy 2.79, 1 Rb 3.06
12 S 0.6838 0.9520 0.7260  1 Pa 2.73, 2 Dy 2.78, 1 Rb 3.04
13 S 0.2682 0.9520 0.7260  1 Pa 2.73, 2 Dy 2.78, 1 Rb 3.04
14 S 0.2691 0.5381 0.3136  2 Pa 2.76, 1 Dy 2.79, 1 Rb 3.06

Values from the calculation:
As for the symmetry: Imma, No. 74. The value obtained for the total energy is -6.18 eV/atom. The crystal system is orthorhombic. The total magnetic moment is 1.02 μB/f.u. As for the formation energy from raw total energies: -1.673 eV/atom.

***

# 5
Computed, not measured: an optimized crystal structure of Rb3Dy3PaS8 at the PBE level of DFT.

abc: 8.1145 8.1147 9.1112
angles: 116.46 90.00 120.00
With the nearest neighbours (Å) after each atom.
Positions (direct):
1 Rb 0.0000 0.0000 0.0000  6 S 3.37-3.38
2 Rb 0.0000 0.5000 0.0000  6 S 3.37-3.38
3 Rb 0.5000 0.5000 0.0000  6 S 3.37-3.38
4 Dy 0.5000 0.0000 0.5000  6 S 2.77
5 Dy 0.5000 0.5000 0.5000  6 S 2.77
6 Dy 0.0000 0.5000 0.5000  6 S 2.77
7 Pa 0.0000 0.0000 0.5000  6 S 2.74
8 S 0.2701 0.5401 0.3103  3 Dy 2.77
9 S 0.7299 0.4599 0.6897  3 Dy 2.77
10 S 0.7725 0.5450 0.3129  1 Pa 2.74, 2 Dy 2.77
11 S 0.2275 0.4550 0.6871  1 Pa 2.74, 2 Dy 2.77
12 S 0.7725 0.0402 0.3129  1 Pa 2.74, 2 Dy 2.77
13 S 0.2275 0.9598 0.6871  1 Pa 2.74, 2 Dy 2.77
14 S 0.2678 0.0402 0.3129  1 Pa 2.74, 2 Dy 2.77
15 S 0.7322 0.9598 0.6871  1 Pa 2.74, 2 Dy 2.77

Values from the calculation:
As for the symmetry: R-3m, No. 166. The value obtained for the total energy is -5.77 eV/atom. The crystal system is trigonal. The total magnetic moment is 1.04 μB/f.u. As for the formation energy from raw total energies: -1.818 eV/atom.

***

# 6
Computed, not measured: an optimized crystal structure of Rb4Dy3PaSe8 at the PBE level of DFT.

abc: 8.4872 9.4035 8.4874
angles: 116.86 120.00 90.00
With the nearest neighbours (Å) after each atom.
Positions (direct):
1 Rb 0.5000 0.0000 0.0000  6 Se 3.44-3.45
2 Rb 0.5000 0.0000 0.5000  6 Se 3.45-3.46
3 Rb 0.0000 0.0000 0.0000  6 Se 3.45-3.46
4 Rb 0.0000 0.0000 0.5000  6 Se 3.45-3.46
5 Dy 0.5000 0.5000 0.0000  6 Se 2.91-2.92
6 Dy 0.5000 0.5000 0.5000  6 Se 2.91-2.92
7 Dy 0.0000 0.5000 0.5000  6 Se 2.91-2.92
8 Pa 0.0000 0.5000 0.0000  6 Se 2.92
9 Se 0.2330 0.6975 0.9649  2 Dy 2.92, 1 Pa 2.92
10 Se 0.2330 0.6975 0.4660  2 Dy 2.92, 1 Pa 2.92
11 Se 0.2679 0.3042 0.5359  3 Dy 2.91
12 Se 0.7318 0.6975 0.9649  2 Dy 2.92, 1 Pa 2.92
13 Se 0.2682 0.3025 0.0351  2 Dy 2.92, 1 Pa 2.92
14 Se 0.7321 0.6958 0.4641  3 Dy 2.91
15 Se 0.7670 0.3025 0.5340  2 Dy 2.92, 1 Pa 2.92
16 Se 0.7670 0.3025 0.0351  2 Dy 2.92, 1 Pa 2.92

Values from the calculation:
As for the symmetry: R-3m, No. 166. The value obtained for the total energy is -5.05 eV/atom. The crystal system is trigonal. The total magnetic moment is 1.83 μB/f.u. As for the formation energy from raw total energies: -1.609 eV/atom.

***

# 7
Computed, not measured: an optimized crystal structure of Rb2DyPaSe4 at the PBE level of DFT.

abc: 4.2023 7.3464 8.4284
angles: 106.58 90.00 90.00
With the nearest neighbours (Å) after each atom.
Positions (direct):
1 Rb 0.5000 0.0000 0.5000  6 Se 3.43-3.45
2 Rb 0.0000 0.5000 0.5000  6 Se 3.44-3.45
3 Dy 0.0000 0.0000 0.0000  6 Se 2.91-2.92
4 Pa 0.5000 0.5000 0.0000  6 Se 2.92-2.93
5 Se 0.5000 0.2323 0.1976  2 Dy 2.91, 1 Pa 2.92
6 Se 0.5000 0.7677 0.8024  2 Dy 2.91, 1 Pa 2.92
7 Se 0.0000 0.2644 0.7996  1 Dy 2.92, 2 Pa 2.93
8 Se 0.0000 0.7356 0.2004  1 Dy 2.92, 2 Pa 2.93

Values from the calculation:
As for the symmetry: P2/m, No. 10. The value obtained for the total energy is -5.24 eV/atom. The crystal system is monoclinic. The total magnetic moment is 1.95 μB/f.u. As for the formation energy from raw total energies: -1.494 eV/atom.

***

# 8
Computed, not measured: an optimized crystal structure of RbDyPaSe4 at the PBE level of DFT.

abc: 9.0087 8.8377 8.8854
angles: 120.18 90.00 120.64
With the nearest neighbours (Å) after each atom.
Positions (direct):
1 Rb 0.8804 0.7607 0.1304  4 Se 3.16-3.17
2 Rb 0.1196 0.2393 0.8696  4 Se 3.16-3.17
3 Dy 0.5000 0.0000 0.5000  6 Se 2.91-2.92
4 Dy 0.5000 0.0000 0.0000  6 Se 2.91-2.92
5 Pa 0.5000 0.5000 0.5000  6 Se 2.87-2.91
6 Pa 0.0000 0.5000 0.5000  6 Se 2.87-2.91
7 Se 0.7345 0.4690 0.6905  2 Pa 2.91, 1 Dy 2.92, 1 Rb 3.17
8 Se 0.3133 0.0390 0.2695  1 Pa 2.87, 2 Dy 2.91, 1 Rb 3.16
9 Se 0.7257 0.0390 0.2695  1 Pa 2.87, 2 Dy 2.91, 1 Rb 3.16
10 Se 0.7345 0.4690 0.2785  2 Pa 2.91, 1 Dy 2.92, 1 Rb 3.17
11 Se 0.2655 0.5310 0.7215  2 Pa 2.91, 1 Dy 2.92, 1 Rb 3.17
12 Se 0.6867 0.9610 0.7305  1 Pa 2.87, 2 Dy 2.91, 1 Rb 3.16
13 Se 0.2743 0.9610 0.7305  1 Pa 2.87, 2 Dy 2.91, 1 Rb 3.16
14 Se 0.2655 0.5310 0.3095  2 Pa 2.91, 1 Dy 2.92, 1 Rb 3.17

Values from the calculation:
As for the symmetry: Imma, No. 74. The value obtained for the total energy is -5.63 eV/atom. The crystal system is orthorhombic. The total magnetic moment is 1.01 μB/f.u. As for the formation energy from raw total energies: -1.490 eV/atom.

***

# 9
Computed, not measured: an optimized crystal structure of Rb3Dy2PaSe6 at the PBE level of DFT.

abc: 7.3381 7.3381 8.3983
angles: 98.37 98.37 120.00
With the nearest neighbours (Å) after each atom.
Positions (direct):
1 Rb 0.1675 0.8325 0.5000  6 Se 3.44-3.45
2 Rb 0.8325 0.1675 0.5000  6 Se 3.44-3.45
3 Rb 0.5000 0.5000 0.5000  6 Se 3.45
4 Dy 0.3334 0.6666 0.0000  6 Se 2.92
5 Dy 0.6666 0.3334 0.0000  6 Se 2.92
6 Pa 0.0000 0.0000 0.0000  6 Se 2.91
7 Se 0.9342 0.6011 0.8025  1 Pa 2.91, 2 Dy 2.92
8 Se 0.7329 0.7329 0.1978  1 Pa 2.91, 2 Dy 2.92
9 Se 0.0658 0.3989 0.1975  1 Pa 2.91, 2 Dy 2.92
10 Se 0.6011 0.9342 0.8025  1 Pa 2.91, 2 Dy 2.92
11 Se 0.2671 0.2671 0.8022  1 Pa 2.91, 2 Dy 2.92
12 Se 0.3989 0.0658 0.1975  1 Pa 2.91, 2 Dy 2.92

Values from the calculation:
As for the symmetry: C2/m, No. 12. The value obtained for the total energy is -5.11 eV/atom. The crystal system is monoclinic. The total magnetic moment is 1.79 μB/f.u. As for the formation energy from raw total energies: -1.568 eV/atom.

***

# 10
Computed, not measured: an optimized crystal structure of Rb2DyPa2Se6 at the PBE level of DFT.

abc: 7.2081 7.2081 8.6081
angles: 97.90 97.90 119.75
With the nearest neighbours (Å) after each atom.
Positions (direct):
1 Rb 0.8334 0.1666 0.0000  6 Se 3.48-3.49
2 Rb 0.1666 0.8334 0.0000  6 Se 3.48-3.49
3 Dy 0.0000 0.0000 0.5000  6 Se 2.90
4 Pa 0.3356 0.6644 0.5000  6 Se 2.89-2.90
5 Pa 0.6644 0.3356 0.5000  6 Se 2.89-2.90
6 Se 0.7326 0.7326 0.6968  2 Pa 2.89, 1 Dy 2.90
7 Se 0.0631 0.3984 0.6936  2 Pa 2.89-2.90, 1 Dy 2.90
8 Se 0.2674 0.2674 0.3032  2 Pa 2.89, 1 Dy 2.90
9 Se 0.3984 0.0631 0.6936  2 Pa 2.89-2.90, 1 Dy 2.90
10 Se 0.9369 0.6016 0.3064  2 Pa 2.89-2.90, 1 Dy 2.90
11 Se 0.6016 0.9369 0.3064  2 Pa 2.89-2.90, 1 Dy 2.90

Values from the calculation:
As for the symmetry: C2/m, No. 12. The value obtained for the total energy is -5.71 eV/atom. The crystal system is monoclinic. The total magnetic moment is 3.03 μB/f.u. As for the formation energy from raw total energies: -1.490 eV/atom.

***

# 11
Computed, not measured: an optimized crystal structure of Rb3Dy3PaTe8 at the PBE level of DFT.

abc: 8.9600 8.9599 10.1344
angles: 116.27 90.00 120.00
With the nearest neighbours (Å) after each atom.
Positions (direct):
1 Rb 0.0000 0.0000 0.0000  6 Te 3.68-3.69
2 Rb 0.0000 0.5000 0.0000  6 Te 3.69
3 Rb 0.5000 0.5000 0.0000  6 Te 3.69
4 Dy 0.5000 0.0000 0.5000  6 Te 3.10-3.11
5 Dy 0.5000 0.5000 0.5000  6 Te 3.10-3.11
6 Dy 0.0000 0.5000 0.5000  6 Te 3.10-3.11
7 Pa 0.0000 0.0000 0.5000  6 Te 3.12
8 Te 0.2671 0.5343 0.3016  3 Dy 3.11
9 Te 0.7329 0.4657 0.6984  3 Dy 3.11
10 Te 0.7666 0.5333 0.3021  2 Dy 3.10, 1 Pa 3.12
11 Te 0.2334 0.4667 0.6979  2 Dy 3.10, 1 Pa 3.12
12 Te 0.7667 0.0353 0.3022  2 Dy 3.10, 1 Pa 3.12
13 Te 0.2333 0.9647 0.6978  2 Dy 3.10, 1 Pa 3.12
14 Te 0.2686 0.0353 0.3022  2 Dy 3.10, 1 Pa 3.12
15 Te 0.7314 0.9647 0.6978  2 Dy 3.10, 1 Pa 3.12

Values from the calculation:
As for the symmetry: R-3m, No. 166. The value obtained for the total energy is -4.70 eV/atom. The crystal system is trigonal. The total magnetic moment is 1.03 μB/f.u. As for the formation energy from raw total energies: -1.275 eV/atom.

***

# 12
Computed, not measured: an optimized crystal structure of Rb2DyPaTe4 at the PBE level of DFT.

abc: 4.4680 7.8170 9.0287
angles: 106.45 90.00 90.00
With the nearest neighbours (Å) after each atom.
Positions (direct):
1 Rb 0.5000 0.0000 0.5000  6 Te 3.64-3.65
2 Rb 0.0000 0.5000 0.5000  6 Te 3.66-3.67
3 Dy 0.0000 0.0000 0.0000  6 Te 3.12
4 Pa 0.5000 0.5000 0.0000  6 Te 3.14-3.15
5 Te 0.5000 0.2325 0.2015  2 Dy 3.12, 1 Pa 3.14
6 Te 0.5000 0.7675 0.7985  2 Dy 3.12, 1 Pa 3.14
7 Te 0.0000 0.2625 0.7958  1 Dy 3.12, 2 Pa 3.15
8 Te 0.0000 0.7375 0.2042  1 Dy 3.12, 2 Pa 3.15

Values from the calculation:
As for the symmetry: P2/m, No. 10. The value obtained for the total energy is -4.70 eV/atom. The crystal system is monoclinic. The total magnetic moment is 1.96 μB/f.u. As for the formation energy from raw total energies: -1.128 eV/atom.

***

total magnetic moment of number 6 (Rb4Dy3PaSe8)? 1.83 μB/f.u.

***

Number 6 is which compound? Rb4Dy3PaSe8

***

Which value of total energy does entry 7 give? -5.24 eV/atom